DFT (PBEsol) results for a relaxed ZrAl2Se crystal.

Calculated values
Total moment ... 0.0 μB per formula unit
Symmetry ... P2/m, No. 10
Energy relative to the elements, uncorrected ... -0.3366 eV/atom
Calculated volume ... 18.62 Å³/atom

a b c (Å): 3.4907 4.0458 5.2746
angles (deg): 90.00 90.07 90.00
Sites, in units of the cell vectors:
Zr (0.5000, 0.5000, 0.5000)
Se (0.5000, 0.5000, 0.0000)
Al (0.0010, 0.0000, 0.7488)
Al (0.9990, 0.0000, 0.2512)

---

DFT (PBEsol) results for a relaxed AgPSe4 crystal.

Calculated values
Total moment ... 0.0 μB per formula unit
Symmetry ... F-43m, No. 216
Energy relative to the elements, uncorrected ... 0.8025 eV/atom
Calculated volume ... 20.17 Å³/atom

a b c (Å): 5.5518 5.5518 5.5518
angles (deg): 60.00 60.00 60.00
Sites, in units of the cell vectors:
Ag (0.7500, 0.7500, 0.7500)
P (0.0000, 0.0000, 0.0000)
Se (0.3747, 0.3747, 0.3747)
Se (0.3747, 0.3747, 0.8759)
Se (0.8759, 0.3747, 0.3747)
Se (0.3747, 0.8759, 0.3747)